Bi2PbWO8: optimized geometry, PBE with a Hubbard U.

```
12
Lattice="-2.083 -4.328 -1.785 1.440 -2.317 4.335 -6.101 1.720 2.947" Properties=species:S:1:pos:R:3 pbc="T T T"
Pb -3.050 0.860 1.473
O -3.239 -1.081 2.217
O -2.728 -3.610 -0.073
O -6.565 -3.091 4.795
O -4.016 -1.315 5.570
O -0.465 -2.316 3.855
O -0.178 -1.834 0.702
O -6.278 -2.609 1.642
O -3.505 -3.844 3.280
Bi -1.794 -2.908 1.986
Bi -4.950 -2.018 3.511
W 0.000 0.000 0.000
```

Values from the calculation:
Space-group type: No. 65
Total magnetic moment (μB/atom): 0.000
DOS at the Fermi energy (states/eV/f.u.): 2.56
DFT total energy (eV/cell): -74.51